(1)
# KRb2P, optimized geometry, DFT PBE-GGA
# Total magnetic moment in μB/f.u.: 0.00
# DFT formation energy in eV/atom: 0.14
# DFT total energy in eV/f.u.: -7.9
data_KRb2P
_chemical_formula_sum 'K4 Rb8 P4'
_space_group_name_H-M_alt 'I -4 2 d'
_space_group_IT_number 122
_space_group_name_Hall 'I -4 2bw'
_cell_length_a 5.4275
_cell_length_b 5.4275
_cell_length_c 23.2339
_cell_angle_alpha 90.00
_cell_angle_beta 90.00
_cell_angle_gamma 90.00
loop_
_atom_site_label
_atom_site_type_symbol
_atom_site_fract_x
_atom_site_fract_y
_atom_site_fract_z
K1 K 0.0000 0.0000 0.0000
Rb1 Rb 0.2156 0.2500 0.6250
P1 P 0.0000 0.0000 0.5000

***

(2)
# H2PbF6, optimized geometry, DFT PBE-GGA
# Energy above the lowest structure with this stoichiometry in meV per atom: 15
# Total magnetic moment in μB/f.u.: 0.18
# DFT total energy in eV/f.u.: -36.8
data_H2PbF6
_chemical_formula_sum 'H8 Pb4 F24'
_space_group_name_H-M_alt 'C 1 2/c 1'
_space_group_IT_number 15
_cell_length_a 11.0826
_cell_length_b 9.3833
_cell_length_c 5.0152
_cell_angle_alpha 90.00
_cell_angle_beta 103.55
_cell_angle_gamma 90.00
loop_
_space_group_symop_operation_xyz
'x,y,z'
'-x,-y,-z'
'-x,y,-z+1/2'
'x,-y,z+1/2'
'x+1/2,y+1/2,z'
'-x+1/2,-y+1/2,-z'
'-x+1/2,y+1/2,-z+1/2'
'x+1/2,-y+1/2,z+1/2'
loop_
_atom_site_label
_atom_site_type_symbol
_atom_site_fract_x
_atom_site_fract_y
_atom_site_fract_z
H1 H 0.1434 0.0140 0.2498
Pb1 Pb 0.0000 0.3676 0.7500
F1 F 0.1045 0.4422 0.1440
F2 F 0.1211 0.2418 0.6180
F3 F 0.1402 0.0590 0.0762

***

(3)
# AcRh2C, optimized geometry, DFT PBE-GGA
# Total magnetic moment in μB/f.u.: 0.00
# DFT formation energy in eV/atom: 0.24
# DFT total energy in eV/f.u.: -27.1
data_AcRh2C
_chemical_formula_sum 'Ac3 Rh6 C3'
_space_group_name_H-M_alt 'R -3 m'
_space_group_IT_number 166
_space_group_name_Hall '-R 3 2"'
_cell_length_a 3.9117
_cell_length_b 3.9117
_cell_length_c 16.1624
_cell_angle_alpha 90.00
_cell_angle_beta 90.00
_cell_angle_gamma 120.00
loop_
_atom_site_label
_atom_site_type_symbol
_atom_site_fract_x
_atom_site_fract_y
_atom_site_fract_z
Ac1 Ac 0.0000 0.0000 0.0000
Rh1 Rh 0.0000 0.0000 0.2043
C1 C 0.0000 0.0000 0.5000

***

(4)
# TcSbRh, optimized geometry, DFT PBE-GGA
# Energy above the lowest structure with this stoichiometry in meV per atom: 36
# Total magnetic moment in μB/f.u.: 0.00
# DFT total energy in eV/f.u.: -21.3
data_TcSbRh
_chemical_formula_sum 'Tc2 Sb2 Rh2'
_space_group_name_H-M_alt 'I 4 m m'
_space_group_IT_number 107
_space_group_name_Hall 'I 4 -2'
_cell_length_a 3.0616
_cell_length_b 3.0616
_cell_length_c 10.6400
_cell_angle_alpha 90.00
_cell_angle_beta 90.00
_cell_angle_gamma 90.00
loop_
_atom_site_label
_atom_site_type_symbol
_atom_site_fract_x
_atom_site_fract_y
_atom_site_fract_z
Tc1 Tc 0.0000 0.0000 0.0000
Sb1 Sb 0.0000 0.0000 0.3329
Rh1 Rh 0.0000 0.0000 0.6583